No. 1
A geometry-optimized YNpSb2 structure, computed with PBE.

Values from the calculation:
- Total DFT energy (no corrections): -7.413 eV/atom
- Symmetry: No. 123
- DOS(E_F): 2.762 states/eV/atom
- Calculated volume: 26.56 Å³/atom
- Total moment: 4.64 μB/cell
- ΔE to the lowest computed polymorph: 174 meV/atom

Structure (CIF):
```
data_YNpSb2
_chemical_formula_sum 'Y1 Np1 Sb2'
_space_group_name_H-M_alt 'P 1'
_space_group_IT_number 1
_cell_length_a 5.692
_cell_length_b 5.692
_cell_length_c 3.279
_cell_angle_alpha 90.00
_cell_angle_beta 90.00
_cell_angle_gamma 90.00
loop_
_space_group_symop_operation_xyz
'x,y,z'
loop_
_atom_site_label
_atom_site_fract_x
_atom_site_fract_y
_atom_site_fract_z
Y1 0.000 0.000 0.000
Np1 0.500 0.500 0.000
Sb1 0.000 0.500 0.500
Sb2 0.500 0.000 0.500
```

No. 2
A geometry-optimized YNpSb2 structure, computed with PBE.

Values from the calculation:
- Total DFT energy (no corrections): -7.587 eV/atom
- Symmetry: No. 141
- DOS(E_F): 2.856 states/eV/atom
- Calculated volume: 29.95 Å³/atom
- Total moment: 7.84 μB/cell
- ΔE to the lowest computed polymorph: 0 meV/atom

Structure (CIF):
```
data_YNpSb2
_chemical_formula_sum 'Y2 Np2 Sb4'
_space_group_name_H-M_alt 'P 1'
_space_group_IT_number 1
_cell_length_a 7.607
_cell_length_b 7.607
_cell_length_c 7.607
_cell_angle_alpha 131.80
_cell_angle_beta 131.80
_cell_angle_gamma 70.54
loop_
_space_group_symop_operation_xyz
'x,y,z'
loop_
_atom_site_label
_atom_site_fract_x
_atom_site_fract_y
_atom_site_fract_z
Y1 0.375 0.625 0.750
Y2 0.625 0.375 0.250
Np1 0.125 0.875 0.250
Np2 0.875 0.125 0.750
Sb1 0.124 0.374 0.750
Sb2 0.374 0.124 0.250
Sb3 0.626 0.876 0.750
Sb4 0.876 0.626 0.250
```

No. 3
A geometry-optimized YNpSb2 structure, computed with PBE.

Values from the calculation:
- Total DFT energy (no corrections): -7.480 eV/atom
- Symmetry: No. 160
- DOS(E_F): 2.242 states/eV/atom
- Calculated volume: 30.67 Å³/atom
- Total moment: 3.95 μB/cell
- ΔE to the lowest computed polymorph: 107 meV/atom

Structure (CIF):
```
data_YNpSb2
_chemical_formula_sum 'Y1 Np1 Sb2'
_space_group_name_H-M_alt 'P 1'
_space_group_IT_number 1
_cell_length_a 7.837
_cell_length_b 7.837
_cell_length_c 7.837
_cell_angle_alpha 32.37
_cell_angle_beta 32.37
_cell_angle_gamma 32.37
loop_
_space_group_symop_operation_xyz
'x,y,z'
loop_
_atom_site_label
_atom_site_fract_x
_atom_site_fract_y
_atom_site_fract_z
Y1 0.000 0.000 0.000
Np1 0.829 0.829 0.829
Sb1 0.247 0.247 0.247
Sb2 0.416 0.416 0.416
```